# 1
The following is a PBE calculation of an optimized crystal structure of ErZnAsO, from the Open Quantum Materials Database.

Computed properties:
Space group   Pmc2_1, No. 26
Calculated total energy   -21.4 eV/f.u.
V   150.21 Å³/cell
Crystal system   orthorhombic

```
data_ErZnAsO
_cell_length_a 3.8326
_cell_length_b 5.9417
_cell_length_c 6.5963
_cell_angle_alpha 90.00
_cell_angle_beta 90.00
_cell_angle_gamma 90.00
_space_group_name_H-M_alt 'P 1'
_space_group_IT_number 1
_space_group_name_Hall 'P 1'
loop_
_atom_site_label
_atom_site_fract_x
_atom_site_fract_y
_atom_site_fract_z
_atom_site_occupancy
Er1 0.0000 0.0411 0.0000 1
Er2 0.0000 0.9589 0.5000 1
Zn1 0.5000 0.3798 0.3581 1
Zn2 0.5000 0.6202 0.8581 1
As1 0.5000 0.2392 0.7257 1
As2 0.5000 0.7608 0.2257 1
O1 0.0000 0.2399 0.2774 1
O2 0.0000 0.7601 0.7774 1
```

=====

# 2
The following is a PBE calculation of an optimized crystal structure of Pr2Ag2SnPb, from the Open Quantum Materials Database.

Computed properties:
Space group   P3m1, No. 156
Calculated total energy   -26.2 eV/f.u.
V   158.77 Å³/cell
Crystal system   trigonal

```
data_Pr2Ag2SnPb
_cell_length_a 4.8711
_cell_length_b 4.8711
_cell_length_c 7.7264
_cell_angle_alpha 90.00
_cell_angle_beta 90.00
_cell_angle_gamma 120.00
_space_group_name_H-M_alt 'P 1'
_space_group_IT_number 1
_space_group_name_Hall 'P 1'
loop_
_atom_site_label
_atom_site_fract_x
_atom_site_fract_y
_atom_site_fract_z
_atom_site_occupancy
Pr1 0.0000 0.0000 0.0000 1
Pr2 0.0000 0.0000 0.4961 1
Ag1 0.3333 0.6667 0.2025 1
Ag2 0.6667 0.3333 0.6857 1
Sn1 0.6667 0.3333 0.2769 1
Pb1 0.3333 0.6667 0.7792 1
```

=====

# 3
The following is a PBE calculation of an optimized crystal structure of LiHgOs, from the Open Quantum Materials Database.

Computed properties:
Space group   F-43m, No. 216
V   49.80 Å³/cell
Energy above the lowest structure with this stoichiometry   0.0 meV per atom
Crystal system   cubic

```
data_LiHgOs
_cell_length_a 4.1295
_cell_length_b 4.1295
_cell_length_c 4.1295
_cell_angle_alpha 60.00
_cell_angle_beta 60.00
_cell_angle_gamma 60.00
_space_group_name_H-M_alt 'P 1'
_space_group_IT_number 1
_space_group_name_Hall 'P 1'
loop_
_atom_site_label
_atom_site_fract_x
_atom_site_fract_y
_atom_site_fract_z
_atom_site_occupancy
Li1 0.0000 0.0000 0.0000 1
Hg1 0.7500 0.7500 0.7500 1
Os1 0.2500 0.2500 0.2500 1
```

=====

# 4
The following is a PBE calculation of an optimized crystal structure of Nd2Ge5Ir3, from the Open Quantum Materials Database.

Computed properties:
Space group   C2/c, No. 15
Calculated total energy   -66.7 eV/f.u.
V   376.98 Å³/cell
Crystal system   monoclinic

```
data_Nd2Ge5Ir3
_cell_length_a 8.4645
_cell_length_b 8.4645
_cell_length_c 6.1111
_cell_angle_alpha 111.05
_cell_angle_beta 111.05
_cell_angle_gamma 90.12
_space_group_name_H-M_alt 'P 1'
_space_group_IT_number 1
_space_group_name_Hall 'P 1'
loop_
_atom_site_label
_atom_site_fract_x
_atom_site_fract_y
_atom_site_fract_z
_atom_site_occupancy
Nd1 0.0955 0.3616 0.2285 1
Nd2 0.3616 0.0955 0.7285 1
Nd3 0.6384 0.9045 0.2715 1
Nd4 0.9045 0.6384 0.7715 1
Ge1 0.0013 0.9987 0.7500 1
Ge2 0.2397 0.4388 0.8384 1
Ge3 0.2748 0.7252 0.7500 1
Ge4 0.2767 0.7233 0.2500 1
Ge5 0.4388 0.2397 0.3384 1
Ge6 0.5612 0.7603 0.6616 1
Ge7 0.7233 0.2767 0.7500 1
Ge8 0.7252 0.2748 0.2500 1
Ge9 0.7603 0.5612 0.1616 1
Ge10 0.9987 0.0013 0.2500 1
Ir1 0.0319 0.7493 0.3888 1
Ir2 0.2507 0.9681 0.1112 1
Ir3 0.4998 0.5002 0.2500 1
Ir4 0.5002 0.4998 0.7500 1
Ir5 0.7493 0.0319 0.8888 1
Ir6 0.9681 0.2507 0.6112 1
```

=====

Copy entry 3 word for word.
The following is a PBE calculation of an optimized crystal structure of LiHgOs, from the Open Quantum Materials Database.

Computed properties:
Space group   F-43m, No. 216
V   49.80 Å³/cell
Energy above the lowest structure with this stoichiometry   0.0 meV per atom
Crystal system   cubic

```
data_LiHgOs
_cell_length_a 4.1295
_cell_length_b 4.1295
_cell_length_c 4.1295
_cell_angle_alpha 60.00
_cell_angle_beta 60.00
_cell_angle_gamma 60.00
_space_group_name_H-M_alt 'P 1'
_space_group_IT_number 1
_space_group_name_Hall 'P 1'
loop_
_atom_site_label
_atom_site_fract_x
_atom_site_fract_y
_atom_site_fract_z
_atom_site_occupancy
Li1 0.0000 0.0000 0.0000 1
Hg1 0.7500 0.7500 0.7500 1
Os1 0.2500 0.2500 0.2500 1
```

=====

Question: What is the V in the fourth record?
Answer: 376.98 Å³/cell

=====

Question: Which value of V does entry 1 give?
Answer: 150.21 Å³/cell